Record 1
The following is a meta-GGA SCAN calculation of a crystal of ZrInSe2 relaxed with PBEsol, from Alexandria.

Cell: 3.7447 3.7447 24.3361 Å, 90.00 90.00 120.00°
Space group R3m (No. 160, hexagonal axes)
Inequivalent atoms, fractional coordinates:
Zr 0.0000 0.0000 0.0000 (multiplicity 3)
In 0.0000 0.0000 0.2374 (multiplicity 3)
Se 0.0000 0.0000 0.5091 (multiplicity 3)
Se 0.0000 0.0000 0.7277 (multiplicity 3)

Summary:
* energy relative to the elements, uncorrected: -699 meV per atom
* mass density: 6.1 g/cm3

---

Record 2
The following is a meta-GGA SCAN calculation of a crystal of NiHg2Mo relaxed with PBEsol, from Alexandria.

Cell: 2.908 4.801 9.404 Å, 90.00 90.00 90.00°
Space group Immm (No. 71)
Inequivalent atoms, fractional coordinates:
Ni 0.000 0.000 0.000 (multiplicity 2)
Hg 0.000 0.500 0.273 (multiplicity 4)
Mo 0.000 0.000 0.500 (multiplicity 2)

Summary:
* mass density: 14.1 g/cm3
* energy of formation: 627 meV/atom